Below is a PBEsol-optimized structure of ZrZnCd2, with properties calculated at the meta-GGA SCAN level.

Summary:
- formation enthalpy at 0 K (eV/f.u.) = -0.645
- electronic total energy (eV/cell) = -211.38

Geometry as CIF:
```
data_ZrZnCd2
_chemical_formula_sum 'Zr2 Zn2 Cd4'
_space_group_name_H-M_alt 'A m m 2'
_space_group_IT_number 38
_space_group_name_Hall 'A 2 -2'
_cell_length_a 4.3726
_cell_length_b 2.9485
_cell_length_c 11.7636
_cell_angle_alpha 90.00
_cell_angle_beta 90.00
_cell_angle_gamma 90.00
loop_
_atom_site_label
_atom_site_fract_x
_atom_site_fract_y
_atom_site_fract_z
_atom_site_occupancy
Zr1 0.0000 0.0000 0.0000 1
Zn1 0.5000 0.0000 0.6003 1
Cd1 0.0000 0.0000 0.7362 1
Cd2 0.5000 0.0000 0.3552 1
```